An optimized crystal structure of PrSm6Sc6. Source: Alexandria, functional GGA-PBE.

Unit cell a=6.393 b=6.393 c=10.826 alpha=90.00 beta=90.00 gamma=116.21
Sites, in units of the cell vectors:
1 Sm 0.647 0.353 0.000
2 Sc 0.500 0.000 0.770
3 Sm 0.353 0.647 0.000
4 Sm 0.712 0.288 0.500
5 Sm 0.000 0.000 0.333
6 Sc 0.000 0.500 0.770
7 Sm 0.000 0.000 0.667
8 Sc 0.500 0.000 0.230
9 Sm 0.288 0.712 0.500
10 Sc 0.500 0.500 0.286
11 Sc 0.000 0.500 0.230
12 Pr 0.000 0.000 0.000
13 Sc 0.500 0.500 0.714

Space-group type = No. 65
DFT formation energy = 199 meV/atom
Crystal system = orthorhombic

An optimized crystal structure of CdAsAu. Source: Alexandria, functional GGA-PBE.

Unit cell a=5.289 b=5.289 c=5.289 alpha=146.56 beta=132.53 gamma=59.31
Sites, in units of the cell vectors:
1 Cd 0.671 0.671 0.000
2 As 0.996 0.996 0.000
3 Au 0.333 0.333 0.000

Space-group type = No. 44
DFT formation energy = 107 meV/atom
Crystal system = orthorhombic

An optimized crystal structure of Sc2TiGe2. Source: Alexandria, functional GGA-PBE.

Unit cell a=4.035 b=5.920 c=8.906 alpha=80.27 beta=76.91 gamma=70.07
Sites, in units of the cell vectors:
1 Sc 0.317 0.267 0.099
2 Ge 0.977 0.163 0.882
3 Sc 0.512 0.656 0.320
4 Ge 0.130 0.316 0.424
5 Sc 0.683 0.733 0.901
6 Ge 0.870 0.684 0.576
7 Sc 0.488 0.344 0.680
8 Ti 0.221 0.932 0.626
9 Ti 0.779 0.068 0.374
10 Ge 0.023 0.837 0.118

Space-group type = No. 12
DFT formation energy = -661 meV/atom
E above lowest polymorph = 53.6 meV per atom
Crystal system = monoclinic

An optimized crystal structure of Te2Os. Source: Alexandria, functional GGA-PBE.

Unit cell a=8.388 b=8.388 c=5.007 alpha=90.00 beta=90.00 gamma=154.08
Sites, in units of the cell vectors:
1 Te 0.401 0.599 0.750
2 Os 0.777 0.223 0.750
3 Os 0.223 0.777 0.250
4 Te 0.846 0.154 0.250
5 Te 0.599 0.401 0.250
6 Te 0.154 0.846 0.750

Space-group type = No. 63
Raw formation energy = 0.4318 eV per atom
Crystal system = orthorhombic

An optimized crystal structure of PrNd2HoAs4. Source: Alexandria, functional GGA-PBE.

Unit cell a=4.243 b=7.343 c=7.341 alpha=70.54 beta=90.00 gamma=90.00
Sites, in units of the cell vectors:
1 As 0.000 0.748 0.745
2 Nd 0.500 0.000 0.500
3 Pr 0.500 0.500 0.000
4 Ho 0.000 0.500 0.500
5 As 0.000 0.252 0.255
6 Nd 0.000 0.000 0.000
7 As 0.500 0.256 0.742
8 As 0.500 0.744 0.258

Space-group type = No. 10
DFT formation energy = -1502 meV/atom
Crystal system = monoclinic

An optimized crystal structure of BaLi2Ca. Source: Alexandria, functional GGA-PBE.

Unit cell a=5.251 b=4.374 c=6.956 alpha=71.55 beta=90.00 gamma=90.00
Sites, in units of the cell vectors:
1 Ca 0.500 0.769 0.838
2 Li 0.000 0.195 0.985
3 Li 0.500 0.067 0.240
4 Ba 0.000 0.469 0.437

Space-group type = No. 6
DFT formation energy = 59 meV/atom
E above lowest polymorph = 24.2 meV per atom
Crystal system = monoclinic

An optimized crystal structure of LiCa2Ru. Source: Alexandria, functional GGA-PBE.

Unit cell a=8.029 b=5.107 c=3.514 alpha=90.07 beta=63.94 gamma=129.41
Site moments in Bohr magnetons follow the coordinates.
Sites, in units of the cell vectors:
1 Ca 0.500 0.000 0.500  0.00
2 Ru 0.500 0.500 0.000  0.41
3 Ca 0.000 0.000 0.000  0.00
4 Li 0.000 0.500 0.500  0.01

Space-group type = No. 12
DFT formation energy = 253 meV/atom
Crystal system = monoclinic

An optimized crystal structure of Ca2TaSe. Source: Alexandria, functional GGA-PBE.

Unit cell a=6.374 b=6.374 c=6.374 alpha=149.21 beta=129.60 gamma=60.24
Sites, in units of the cell vectors:
1 Se 0.479 0.479 0.000
2 Ta 0.299 0.799 0.500
3 Ca 0.707 0.207 0.500
4 Ca 0.016 0.016 0.000

Space-group type = No. 44
Raw formation energy = -0.1251 eV per atom
Crystal system = orthorhombic

Short version: DOS(E_F) = 25.4, 1.1, 6.0, 1.4, 0.6, 3.8, 5.2, 4.2 states/eV/f.u., in the order given.